# 1
DFT (PBE) results for an optimized crystal structure of Pm5Nd5Tm2.

Cell: 5.138 8.141 10.909 Å, 72.61 76.38 71.60°
Atoms (fractional coordinates):
Tm: 0.916 0.416 0.751
Nd: 0.000 0.000 0.000
Nd: 0.748 0.253 0.251
Tm: 0.084 0.584 0.249
Nd: 0.252 0.747 0.749
Pm: 0.667 0.666 0.000
Pm: 0.500 0.500 0.500
Pm: 0.582 0.086 0.751
Pm: 0.418 0.914 0.249
Pm: 0.333 0.334 0.000
Nd: 0.165 0.169 0.501
Nd: 0.835 0.831 0.499

Computed properties:
E_form   0.016 eV per atom
Calculated total energy   -56.34 eV/cell
Calculated volume   34.0 A^3/atom

# 2
DFT (PBE) results for an optimized crystal structure of TiPtW3.

Cell: 4.768 4.768 4.768 Å, 90.00 90.00 90.00°
Atoms (fractional coordinates):
W: 0.000 0.500 0.000
W: 0.500 0.000 0.000
Pt: 0.000 0.000 0.000
Ti: 0.500 0.500 0.500
W: 0.000 0.000 0.500

Computed properties:
E_form   1.977 eV per atom
Polymorph energy (0 for the lowest one)   18.03 kJ per mole of atoms
Calculated total energy   -42.91 eV/cell
Calculated volume   21.7 A^3/atom

# 3
DFT (PBE) results for an optimized crystal structure of Sc8P2C3.

Cell: 5.864 6.769 7.272 Å, 117.73 106.10 90.00°
Atoms (fractional coordinates):
Sc: 0.396 0.868 0.208
C: 0.000 0.743 0.000
Sc: 0.604 0.132 0.792
Sc: 0.904 0.096 0.193
P: 0.327 0.257 0.513
C: 0.000 0.257 0.000
C: 0.500 0.000 0.000
Sc: 0.096 0.904 0.807
Sc: 0.604 0.660 0.792
Sc: 0.099 0.404 0.807
Sc: 0.396 0.340 0.208
Sc: 0.901 0.596 0.193
P: 0.673 0.743 0.487

Computed properties:
E_form   -0.716 eV per atom
Calculated total energy   -98.45 eV/cell
Calculated volume   18.7 A^3/atom

# 4
DFT (PBE) results for an optimized crystal structure of TlSb2RhI.

Cell: 5.128 5.128 6.047 Å, 90.00 90.00 90.00°
Atoms (fractional coordinates):
Tl: 0.500 0.500 0.500
Sb: 0.000 0.500 0.000
Rh: 0.000 0.000 0.000
I: 0.000 0.000 0.500
Sb: 0.500 0.000 0.000

Computed properties:
Polymorph energy (0 for the lowest one)   0.00 kJ per mole of atoms
Calculated total energy   -18.95 eV/cell
Raw formation energy   113 meV/atom
Calculated volume   31.8 A^3/atom

# 5
DFT (PBE) results for an optimized crystal structure of Pm3Tl3InSe8.

Cell: 8.475 8.475 9.055 Å, 117.90 90.00 120.00°
Atoms (fractional coordinates):
In: 0.000 0.000 0.500
Se: 0.771 0.542 0.292
Se: 0.739 0.477 0.715
Se: 0.770 0.021 0.292
Se: 0.749 0.979 0.708
Pm: 0.000 0.500 0.500
Tl: 0.500 0.500 0.000
Se: 0.230 0.979 0.708
Pm: 0.500 0.000 0.500
Se: 0.229 0.458 0.708
Se: 0.261 0.523 0.285
Pm: 0.500 0.500 0.500
Tl: 0.000 0.000 0.000
Se: 0.251 0.021 0.292
Tl: 0.000 0.500 0.000

Computed properties:
Calculated total energy   -68.97 eV/cell
Raw formation energy   -1134 meV/atom
Calculated volume   31.6 A^3/atom

# 6
DFT (PBE) results for an optimized crystal structure of Sb2WAu.

Cell: 3.010 3.010 10.502 Å, 90.00 90.00 108.47°
Atoms (fractional coordinates):
Au: 0.500 0.500 0.750
Sb: 0.000 0.000 0.462
W: 0.500 0.500 0.250
Sb: 0.000 0.000 0.038

Computed properties:
Polymorph energy (0 for the lowest one)   23.29 kJ per mole of atoms
Calculated total energy   -22.19 eV/cell
Raw formation energy   571 meV/atom
Calculated volume   22.6 A^3/atom

# 7
DFT (PBE) results for an optimized crystal structure of PrInCl4.

Cell: 6.866 6.866 9.055 Å, 112.35 112.28 90.00°
Atoms (fractional coordinates):
Cl: 0.358 0.858 0.715
Cl: 0.142 0.142 0.285
Cl: 0.643 0.642 0.285
Cl: 0.858 0.858 0.715
In: 0.750 0.750 0.000
Pr: 0.000 0.500 0.500
Cl: 0.857 0.358 0.715
In: 0.250 0.250 0.000
Cl: 0.642 0.142 0.285
Pr: 0.500 0.000 0.500
Cl: 0.143 0.642 0.285
Cl: 0.357 0.358 0.715

Computed properties:
Calculated total energy   -51.00 eV/cell
Raw formation energy   -1766 meV/atom
Calculated volume   30.0 A^3/atom

# 8
DFT (PBE) results for an optimized crystal structure of Y3TlO.

Cell: 14.291 6.704 6.704 Å, 146.72 130.59 49.41°
Atoms (fractional coordinates):
Tl: 0.626 0.834 0.166
O: 0.000 0.161 0.839
Y: 0.103 0.244 0.756
Y: 0.394 0.426 0.574
Y: 0.606 0.574 0.426
Tl: 0.374 0.166 0.834
Y: 0.831 0.067 0.933
Y: 0.897 0.756 0.244
O: 0.000 0.839 0.161
Y: 0.169 0.933 0.067

Computed properties:
Calculated total energy   -66.37 eV/cell
Raw formation energy   -1294 meV/atom
Calculated volume   25.9 A^3/atom

# 9
DFT (PBE) results for an optimized crystal structure of MgInSi2.

Cell: 5.235 5.235 5.235 Å, 132.30 132.30 69.76°
Atoms (fractional coordinates):
Si: 0.250 0.750 0.500
Si: 0.000 0.000 0.000
Mg: 0.750 0.250 0.500
In: 0.500 0.500 0.000

Computed properties:
Polymorph energy (0 for the lowest one)   13.04 kJ per mole of atoms
Calculated total energy   -13.91 eV/cell
Raw formation energy   317 meV/atom
Calculated volume   19.2 A^3/atom